NiAg4Sb | PBE-GGA | relaxed

```
6
Lattice="0.000 3.866 3.866 3.866 0.000 3.866 3.866 3.866 0.000" Properties=species:S:1:pos:R:3 pbc="T T T"
Ni 0.000 0.000 0.000
Ag 2.896 2.896 2.896
Ag 4.836 4.836 2.896
Ag 4.836 2.896 4.836
Ag 2.896 4.836 4.836
Sb 5.799 5.799 5.799
```

Output
* V: 115.5 Å³ per cell
* E_form (uncorrected): 0.359 eV/atom
* space group: F-43m (216)
* crystal system: cubic
* Fermi-level density of states: 0.67 states/eV per atom

HfSi2AgAs | PBE-GGA | relaxed

```
5
Lattice="5.026 0.000 0.000 0.000 5.026 0.000 0.000 0.000 5.244" Properties=species:S:1:pos:R:3 pbc="T T T"
Hf 0.000 0.000 0.000
Si 0.000 2.513 0.000
Si 2.513 0.000 0.000
Ag 0.000 0.000 2.622
As 2.513 2.513 2.622
```

Output
* V: 132.5 Å³ per cell
* E_form (uncorrected): 1.169 eV/atom
* space group: P4/mmm (123)
* crystal system: tetragonal
* Fermi-level density of states: 0.56 states/eV per atom

Ag3Sn5I12 | PBE-GGA | relaxed

```
80
Lattice="-9.516 9.516 9.516 9.516 -9.516 9.516 9.516 9.516 -9.516" Properties=species:S:1:pos:R:3 pbc="T T T"
Ag 4.758 2.379 0.000
Ag 9.516 4.758 -2.379
Ag 2.379 0.000 4.758
Ag 11.895 0.000 4.758
Ag 0.000 4.758 2.379
Ag 4.758 -2.379 9.516
Ag 4.758 11.895 0.000
Ag 9.516 4.758 7.137
Ag -2.379 9.516 4.758
Ag 7.137 9.516 4.758
Ag 0.000 4.758 11.895
Ag 4.758 7.137 9.516
Sn 0.000 0.000 0.000
Sn 4.758 4.758 -4.758
Sn 4.758 -4.758 4.758
Sn 9.516 0.000 0.000
Sn 14.274 2.379 0.000
Sn 9.516 -4.758 7.137
Sn 7.137 9.516 -4.758
Sn 7.137 0.000 4.758
Sn 4.758 7.137 0.000
Sn 9.516 4.758 2.379
Sn -4.758 4.758 4.758
Sn 0.000 9.516 0.000
Sn 0.000 0.000 9.516
Sn 4.758 4.758 4.758
Sn 0.000 4.758 7.137
Sn 4.758 2.379 9.516
Sn 2.379 9.516 4.758
Sn 2.379 0.000 14.274
Sn 0.000 14.274 2.379
Sn -4.758 7.137 9.516
I 2.805 -0.501 1.491
I 11.469 6.250 -5.259
I 9.015 -1.491 2.805
I 14.776 -1.953 3.267
I 12.321 0.501 1.491
I 11.469 -3.267 5.259
I 1.491 2.805 -0.501
I 12.783 4.257 -1.953
I 6.250 5.259 -1.953
I 8.025 2.805 0.501
I -0.501 1.491 2.805
I 5.259 -1.953 6.250
I 9.015 8.025 -2.805
I 5.259 1.953 3.267
I 8.025 -2.805 9.015
I 6.250 -5.259 11.469
I 3.267 5.259 1.953
I 11.008 6.711 0.501
I 2.805 9.015 -1.491
I 11.469 3.267 4.257
I 5.259 11.469 -3.267
I 9.015 1.491 6.711
I 1.953 3.267 5.259
I 2.805 0.501 8.025
I 6.711 9.015 1.491
I 7.563 6.250 4.257
I 0.501 8.025 2.805
I 4.257 -1.953 12.783
I -1.953 6.250 5.259
I 6.711 0.501 11.008
I -1.491 2.805 9.015
I 6.250 4.257 7.563
I 3.267 14.776 -1.953
I 1.491 12.321 0.501
I 4.257 7.563 6.250
I 0.501 1.491 12.321
I 4.257 11.469 3.267
I 10.018 8.025 6.711
I 1.491 6.711 9.015
I 3.267 4.257 11.469
I -3.267 5.259 11.469
I 8.025 6.711 10.018
I -1.953 12.783 4.257
I -2.805 9.015 8.025
I -5.259 11.469 6.250
I 0.501 11.008 6.711
I -1.953 3.267 14.776
I 6.711 10.018 8.025
```

Output
* V: 3447.1 Å³ per cell
* E_form (uncorrected): -0.152 eV/atom
* space group: Ia-3d (230)
* crystal system: cubic
* Fermi-level density of states: 0.35 states/eV per atom

LiPuSnI6 | PBE-GGA | relaxed

```
18
Lattice="7.720 0.000 0.000 -3.860 6.686 0.000 0.000 0.000 14.102" Properties=species:S:1:pos:R:3 pbc="T T T"
Li 0.000 4.457 3.525
Li 3.860 2.229 10.576
Pu 0.000 4.457 10.576
Pu 3.860 2.229 3.525
Sn 0.000 0.000 0.000
Sn 0.000 0.000 7.051
I -1.287 2.342 1.793
I -2.476 4.400 5.258
I 1.287 2.342 5.258
I -1.189 6.630 1.793
I 2.671 0.056 8.844
I 1.384 2.286 12.309
I 2.476 4.400 1.793
I 1.189 6.630 5.258
I 5.049 0.056 12.309
I 2.573 4.344 8.844
I 6.336 2.286 8.844
I 5.147 4.344 12.309
```

Output
* V: 727.9 Å³ per cell
* E_form (uncorrected): -0.865 eV/atom
* space group: P-31c (163)
* crystal system: trigonal
* Fermi-level density of states: 1.59 states/eV per atom

Ba2AgHg | PBE-GGA | relaxed

```
4
Lattice="4.229 0.000 0.000 0.000 4.229 0.000 0.000 0.000 8.818" Properties=species:S:1:pos:R:3 pbc="T T T"
Ba 0.000 0.000 0.000
Ba 2.115 2.115 3.646
Ag 2.115 2.115 7.021
Hg 0.000 0.000 5.438
```

Output
* V: 157.7 Å³ per cell
* space group: P4mm (99)
* crystal system: tetragonal
* energy relative to the elements: -23.2 kJ per mole of atoms
* Fermi-level density of states: 0.71 states/eV per atom

GaAgIr3 | PBE-GGA | relaxed

```
5
Lattice="4.562 0.000 0.000 0.000 4.562 0.000 0.000 0.000 4.562" Properties=species:S:1:pos:R:3 pbc="T T T"
Ga 0.000 0.000 0.000
Ag 2.281 2.281 2.281
Ir 0.000 0.000 2.281
Ir 0.000 2.281 0.000
Ir 2.281 0.000 0.000
```

Output
* V: 94.9 Å³ per cell
* energy above the lowest structure with this stoichiometry: 0.000 eV per atom
* space group: Pm-3m (221)
* crystal system: cubic
* energy relative to the elements: 127.5 kJ per mole of atoms
* Fermi-level density of states: 1.55 states/eV per atom

NdSm7Er12 | PBE-GGA | relaxed

```
20
Lattice="6.415 3.703 4.543 -6.415 3.703 4.543 0.000 -7.407 4.543" Properties=species:S:1:pos:R:3 pbc="T T T"
Nd 0.000 0.000 0.000
Sm -0.427 -2.251 2.073
Sm -1.736 1.495 2.073
Sm 2.163 0.756 2.073
Sm 0.000 0.000 6.814
Sm -2.163 -0.756 11.555
Sm 1.736 -1.495 11.555
Sm 0.427 2.251 11.555
Er -1.725 -1.479 4.739
Er -3.593 1.101 5.705
Er -2.749 -2.561 7.923
Er 0.843 -3.662 5.705
Er -0.419 2.234 4.739
Er 2.144 -0.754 4.739
Er -2.144 0.754 8.889
Er 0.419 -2.234 8.889
Er -0.843 3.662 7.923
Er 2.749 2.561 5.705
Er 3.593 -1.101 7.923
Er 1.725 1.479 8.889
```

Output
* V: 647.5 Å³ per cell
* energy above the lowest structure with this stoichiometry: 0.000 eV per atom
* space group: R-3 (148)
* crystal system: trigonal
* energy relative to the elements: 28.4 kJ per mole of atoms
* Fermi-level density of states: 0.88 states/eV per atom

PmDyHgIr | PBE-GGA | relaxed

```
4
Lattice="3.551 0.000 0.000 0.000 3.551 0.000 0.000 0.000 7.587" Properties=species:S:1:pos:R:3 pbc="T T T"
Pm 0.000 0.000 0.000
Dy 0.000 0.000 4.266
Hg 1.776 1.776 2.215
Ir 1.776 1.776 5.845
```

Output
* V: 95.7 Å³ per cell
* energy above the lowest structure with this stoichiometry: 0.000 eV per atom
* space group: P4mm (99)
* crystal system: tetragonal
* energy relative to the elements: -61.4 kJ per mole of atoms
* Fermi-level density of states: 0.42 states/eV per atom

La2MgIr | PBE-GGA | relaxed

```
4
Lattice="-1.798 2.514 6.081 1.798 -2.514 6.081 1.798 2.514 -6.081" Properties=species:S:1:pos:R:3 pbc="T T T"
La 0.000 0.000 0.000
La 0.000 2.514 2.345
Mg 0.000 0.000 4.531
Ir 1.798 0.000 2.374
```

Output
* V: 110.0 Å³ per cell
* space group: Imm2 (44)
* crystal system: orthorhombic
* energy relative to the elements: -33.1 kJ per mole of atoms
* Fermi-level density of states: 0.91 states/eV per atom

MnAg2Pt | PBE-GGA | relaxed

```
4
Lattice="4.853 -1.484 0.000 4.853 1.484 0.000 -1.017 0.000 4.575" Properties=species:S:1:pos:R:3 pbc="T T T"
Mn 0.000 0.000 0.000
Ag 1.668 0.000 3.437
Ag 7.021 0.000 1.138
Pt 4.345 0.000 2.288
```

Output
* V: 65.9 Å³ per cell
* energy above the lowest structure with this stoichiometry: 0.047 eV per atom
* space group: C2/m (12)
* crystal system: monoclinic
* energy relative to the elements: 0.2 kJ per mole of atoms
* Fermi-level density of states: 0.43 states/eV per atom

ZnAs2SeF | PBE-GGA | relaxed

```
5
Lattice="4.837 0.000 0.000 0.000 4.837 0.000 0.000 0.000 4.797" Properties=species:S:1:pos:R:3 pbc="T T T"
Zn 0.000 0.000 0.000
As 0.000 2.419 0.000
As 2.419 0.000 0.000
Se 0.000 0.000 2.399
F 2.419 2.419 2.399
```

Output
* V: 112.3 Å³ per cell
* E_form (uncorrected): 0.441 eV/atom
* energy above the lowest structure with this stoichiometry: 0.118 eV per atom
* space group: P4/mmm (123)
* crystal system: tetragonal
* Fermi-level density of states: 0.78 states/eV per atom

Nd3Tc2C4 | PBE-GGA | relaxed

```
9
Lattice="5.754 -1.720 0.000 5.754 1.720 0.000 -0.570 0.000 7.314" Properties=species:S:1:pos:R:3 pbc="T T T"
Nd 0.000 0.000 0.000
Nd 3.999 0.000 4.217
Nd 6.939 0.000 3.097
Tc 3.185 0.000 1.182
Tc 7.753 0.000 6.133
C 1.490 0.000 5.040
C 3.400 0.000 6.677
C 7.538 0.000 0.637
C 9.448 0.000 2.274
```

Output
* V: 144.7 Å³ per cell
* space group: C2/m (12)
* crystal system: monoclinic
* energy relative to the elements: 7.7 kJ per mole of atoms
* Fermi-level density of states: 0.61 states/eV per atom

> What is the formula in the third record?

Ag3Sn5I12

> The lowest Fermi-level density of states belongs to which entry?

Ag3Sn5I12

> Which of these has the lowest V?

MnAg2Pt

Please write out number 5 again, unchanged.
Ba2AgHg | PBE-GGA | relaxed

```
4
Lattice="4.229 0.000 0.000 0.000 4.229 0.000 0.000 0.000 8.818" Properties=species:S:1:pos:R:3 pbc="T T T"
Ba 0.000 0.000 0.000
Ba 2.115 2.115 3.646
Ag 2.115 2.115 7.021
Hg 0.000 0.000 5.438
```

Output
* V: 157.7 Å³ per cell
* space group: P4mm (99)
* crystal system: tetragonal
* energy relative to the elements: -23.2 kJ per mole of atoms
* Fermi-level density of states: 0.71 states/eV per atom